1.
Entry from the Alexandria database: a relaxed Ho5Bi4S crystal (PBE).

Unit cell a=9.713 b=9.713 c=6.211 alpha=90.00 beta=90.00 gamma=90.00
Space group I4 (No. 79)
One atom of each set of equivalent atoms:
Ho  0.000  0.000  0.000
Ho  0.099  0.280  0.482
Bi  0.092  0.304  0.982
S  0.000  0.000  0.474

Properties
**Formation energy (no corrections)**: -1.010 eV per atom



2.
Entry from the Alexandria database: a relaxed HoBi4S7 crystal (PBE).

Unit cell a=13.653 b=4.017 c=12.203 alpha=90.00 beta=107.61 gamma=90.00
Space group Cm (No. 8)
One atom of each set of equivalent atoms:
Ho  0.000  0.000  0.000
Bi  0.103  0.000  0.437
Bi  0.243  0.000  0.875
Bi  0.285  0.500  0.259
Bi  0.419  0.000  0.600
S  0.062  0.000  0.648
S  0.119  0.500  0.953
S  0.142  0.000  0.221
S  0.263  0.500  0.473
S  0.346  0.500  0.798
S  0.396  0.000  0.073
S  0.442  0.000  0.386

Properties
**Formation energy (no corrections)**: -0.648 eV per atom



3.
Entry from the Alexandria database: a relaxed Ho3Bi5S12 crystal (PBE).

Unit cell a=16.351 b=16.351 c=16.351 alpha=90.00 beta=90.00 gamma=90.00
Space group Ia-3d (No. 230)
One atom of each set of equivalent atoms:
Ho  0.000  0.250  0.125
Bi  0.000  0.000  0.000
Bi  0.000  0.250  0.375
S  0.014  0.072  0.655

Properties
**Formation energy (no corrections)**: -0.787 eV per atom



Number 1: E -5.2645 eV/atom. Number 2: E -4.7303 eV/atom. Number 3: E -4.9203 eV/atom.